Here is an optimized crystal structure of LiHoInBi from the Alexandria database. Energies are from PBE-GGA.

Output
As for the space group: F-43m, No. 216. As for the magnetic moment: 0.000 μB/atom. As for the formation energy: -0.34 eV/atom.

CIF file:
```
data_LiHoInBi
_chemical_formula_sum 'Li1 Ho1 In1 Bi1'
_cell_length_a 5.289
_cell_length_b 5.289
_cell_length_c 5.289
_cell_angle_alpha 60.00
_cell_angle_beta 60.00
_cell_angle_gamma 60.00
_symmetry_space_group_name_H-M 'P 1'
_symmetry_Int_Tables_number 1
loop_
_symmetry_equiv_pos_as_xyz
'x,y,z'
loop_
_atom_site_label
_atom_site_type_symbol
_atom_site_fract_x
_atom_site_fract_y
_atom_site_fract_z
Li1 Li 0.750 0.750 0.750
Ho1 Ho 0.250 0.250 0.250
Bi1 Bi 0.000 0.000 0.000
In1 In 0.500 0.500 0.500
```


Here is an optimized crystal structure of KOs2N from the Alexandria database. Energies are from PBE-GGA.

Output
As for the space group: I-42d, No. 122. As for the magnetic moment: 0.296 μB/atom. The formation energy from raw total energies comes out at 1.094 eV per atom.

CIF file:
```
data_KOs2N
_chemical_formula_sum 'K2 Os4 N2'
_cell_length_a 6.262
_cell_length_b 6.262
_cell_length_c 6.160
_cell_angle_alpha 59.45
_cell_angle_beta 59.45
_cell_angle_gamma 90.00
_symmetry_space_group_name_H-M 'P 1'
_symmetry_Int_Tables_number 1
loop_
_symmetry_equiv_pos_as_xyz
'x,y,z'
loop_
_atom_site_label
_atom_site_type_symbol
_atom_site_fract_x
_atom_site_fract_y
_atom_site_fract_z
Os1 Os 0.875 0.593 0.750
Os2 Os 0.375 0.657 0.750
Os3 Os 0.407 0.625 0.250
Os4 Os 0.343 0.125 0.250
N1 N 0.250 0.750 0.500
N2 N 0.500 0.500 0.000
K1 K 0.000 0.000 0.000
K2 K 0.750 0.250 0.500
```


Here is an optimized crystal structure of KNb2SnBr from the Alexandria database. Energies are from PBE-GGA.

Output
As for the space group: P4/mmm, No. 123. As for the magnetic moment: 1.200 μB/atom. The formation energy from raw total energies comes out at 1.070 eV per atom.

CIF file:
```
data_KNb2SnBr
_chemical_formula_sum 'K1 Nb2 Sn1 Br1'
_cell_length_a 5.353
_cell_length_b 5.353
_cell_length_c 6.828
_cell_angle_alpha 90.00
_cell_angle_beta 90.00
_cell_angle_gamma 90.00
_symmetry_space_group_name_H-M 'P 1'
_symmetry_Int_Tables_number 1
loop_
_symmetry_equiv_pos_as_xyz
'x,y,z'
loop_
_atom_site_label
_atom_site_type_symbol
_atom_site_fract_x
_atom_site_fract_y
_atom_site_fract_z
Br1 Br 0.500 0.500 0.500
K1 K 0.000 0.000 0.500
Nb1 Nb 0.500 0.000 0.000
Nb2 Nb 0.000 0.500 0.000
Sn1 Sn 0.000 0.000 0.000
```


Here is an optimized crystal structure of BaLa3Nb from the Alexandria database. Energies are from PBE-GGA.

Output
As for the space group: Pm-3m, No. 221. As for the magnetic moment: 0.000 μB/atom. As for the formation energy: 0.29 eV/atom. The value obtained for the excess energy over the best structure of this formula in the dataset is 0.000 eV per atom.

CIF file:
```
data_BaLa3Nb
_chemical_formula_sum 'Ba1 La3 Nb1'
_cell_length_a 5.823
_cell_length_b 5.823
_cell_length_c 5.823
_cell_angle_alpha 90.00
_cell_angle_beta 90.00
_cell_angle_gamma 90.00
_symmetry_space_group_name_H-M 'P 1'
_symmetry_Int_Tables_number 1
loop_
_symmetry_equiv_pos_as_xyz
'x,y,z'
loop_
_atom_site_label
_atom_site_type_symbol
_atom_site_fract_x
_atom_site_fract_y
_atom_site_fract_z
Nb1 Nb 0.000 0.000 0.000
Ba1 Ba 0.500 0.500 0.500
La1 La 0.000 0.500 0.000
La2 La 0.500 0.000 0.000
La3 La 0.000 0.000 0.500
```


Here is an optimized crystal structure of Nd3SmPd from the Alexandria database. Energies are from PBE-GGA.

Output
As for the space group: Pm-3m, No. 221. As for the magnetic moment: 0.001 μB/atom. As for the formation energy: -0.05 eV/atom. The value obtained for the excess energy over the best structure of this formula in the dataset is 0.260 eV per atom.

CIF file:
```
data_Nd3SmPd
_chemical_formula_sum 'Nd3 Sm1 Pd1'
_cell_length_a 5.653
_cell_length_b 5.653
_cell_length_c 5.653
_cell_angle_alpha 90.00
_cell_angle_beta 90.00
_cell_angle_gamma 90.00
_symmetry_space_group_name_H-M 'P 1'
_symmetry_Int_Tables_number 1
loop_
_symmetry_equiv_pos_as_xyz
'x,y,z'
loop_
_atom_site_label
_atom_site_type_symbol
_atom_site_fract_x
_atom_site_fract_y
_atom_site_fract_z
Pd1 Pd 0.000 0.000 0.000
Nd1 Nd 0.000 0.000 0.500
Nd2 Nd 0.500 0.000 0.000
Nd3 Nd 0.000 0.500 0.000
Sm1 Sm 0.500 0.500 0.500
```


Here is an optimized crystal structure of Mg7Pb3 from the Alexandria database. Energies are from PBE-GGA.

Output
As for the space group: P6_3mc, No. 186. As for the magnetic moment: 0.000 μB/atom. As for the formation energy: 0.00 eV/atom. The value obtained for the excess energy over the best structure of this formula in the dataset is 0.056 eV per atom.

CIF file:
```
data_Mg7Pb3
_chemical_formula_sum 'Mg14 Pb6'
_cell_length_a 6.117
_cell_length_b 9.918
_cell_length_c 9.918
_cell_angle_alpha 120.00
_cell_angle_beta 90.00
_cell_angle_gamma 90.00
_symmetry_space_group_name_H-M 'P 1'
_symmetry_Int_Tables_number 1
loop_
_symmetry_equiv_pos_as_xyz
'x,y,z'
loop_
_atom_site_label
_atom_site_type_symbol
_atom_site_fract_x
_atom_site_fract_y
_atom_site_fract_z
Mg1 Mg 0.180 0.479 0.521
Mg2 Mg 0.897 0.283 0.141
Mg3 Mg 0.897 0.859 0.141
Mg4 Mg 0.180 0.042 0.521
Mg5 Mg 0.680 0.958 0.479
Mg6 Mg 0.680 0.521 0.042
Mg7 Mg 0.023 0.667 0.333
Mg8 Mg 0.397 0.141 0.859
Mg9 Mg 0.397 0.717 0.859
Mg10 Mg 0.397 0.141 0.283
Mg11 Mg 0.680 0.521 0.479
Mg12 Mg 0.180 0.479 0.958
Mg13 Mg 0.523 0.333 0.667
Mg14 Mg 0.897 0.859 0.717
Pb1 Pb 0.884 0.195 0.805
Pb2 Pb 0.384 0.805 0.195
Pb3 Pb 0.884 0.195 0.390
Pb4 Pb 0.384 0.805 0.610
Pb5 Pb 0.884 0.610 0.805
Pb6 Pb 0.384 0.390 0.195
```


Here is an optimized crystal structure of Pm2Sm5Y12 from the Alexandria database. Energies are from PBE-GGA.

Output
As for the space group: P-1, No. 2. As for the magnetic moment: 0.000 μB/atom. As for the formation energy: 0.05 eV/atom. The value obtained for the excess energy over the best structure of this formula in the dataset is 0.000 eV per atom.

CIF file:
```
data_Pm2Sm5Y12
_chemical_formula_sum 'Pm2 Sm5 Y12'
_cell_length_a 6.187
_cell_length_b 9.689
_cell_length_c 13.357
_cell_angle_alpha 124.42
_cell_angle_beta 91.66
_cell_angle_gamma 103.23
_symmetry_space_group_name_H-M 'P 1'
_symmetry_Int_Tables_number 1
loop_
_symmetry_equiv_pos_as_xyz
'x,y,z'
loop_
_atom_site_label
_atom_site_type_symbol
_atom_site_fract_x
_atom_site_fract_y
_atom_site_fract_z
Y1 Y 0.920 0.886 0.188
Y2 Y 0.689 0.579 0.245
Y3 Y 0.311 0.421 0.755
Y4 Y 0.212 0.630 0.397
Y5 Y 0.809 0.476 0.905
Y6 Y 0.628 0.168 0.972
Y7 Y 0.745 0.684 0.553
Y8 Y 0.788 0.370 0.603
Y9 Y 0.372 0.832 0.028
Y10 Y 0.191 0.524 0.095
Y11 Y 0.080 0.114 0.812
Y12 Y 0.255 0.316 0.447
Sm1 Sm 0.279 0.740 0.714
Sm2 Sm 0.721 0.260 0.286
Sm3 Sm 0.463 0.951 0.348
Sm4 Sm 0.000 0.000 0.500
Sm5 Sm 0.537 0.049 0.652
Pm1 Pm 0.821 0.800 0.867
Pm2 Pm 0.179 0.200 0.133
```


Here is an optimized crystal structure of LaTa2Pt from the Alexandria database. Energies are from PBE-GGA.

Output
As for the space group: F-43m, No. 216. As for the magnetic moment: 0.000 μB/atom. As for the formation energy: 0.06 eV/atom. The value obtained for the excess energy over the best structure of this formula in the dataset is 0.219 eV per atom.

CIF file:
```
data_LaTa2Pt
_chemical_formula_sum 'La1 Ta2 Pt1'
_cell_length_a 4.860
_cell_length_b 4.860
_cell_length_c 4.860
_cell_angle_alpha 60.00
_cell_angle_beta 60.00
_cell_angle_gamma 60.00
_symmetry_space_group_name_H-M 'P 1'
_symmetry_Int_Tables_number 1
loop_
_symmetry_equiv_pos_as_xyz
'x,y,z'
loop_
_atom_site_label
_atom_site_type_symbol
_atom_site_fract_x
_atom_site_fract_y
_atom_site_fract_z
Ta1 Ta 0.000 0.000 0.000
Ta2 Ta 0.750 0.750 0.750
Pt1 Pt 0.250 0.250 0.250
La1 La 0.500 0.500 0.500
```


Here is an optimized crystal structure of Tb8PrSc4 from the Alexandria database. Energies are from PBE-GGA.

Output
As for the space group: R-3m, No. 166. As for the magnetic moment: 0.000 μB/atom. As for the formation energy: 0.24 eV/atom.

CIF file:
```
data_Tb8PrSc4
_chemical_formula_sum 'Tb8 Pr1 Sc4'
_cell_length_a 7.127
_cell_length_b 7.127
_cell_length_c 9.833
_cell_angle_alpha 90.00
_cell_angle_beta 111.25
_cell_angle_gamma 120.00
_symmetry_space_group_name_H-M 'P 1'
_symmetry_Int_Tables_number 1
loop_
_symmetry_equiv_pos_as_xyz
'x,y,z'
loop_
_atom_site_label
_atom_site_type_symbol
_atom_site_fract_x
_atom_site_fract_y
_atom_site_fract_z
Tb1 Tb 0.043 0.247 0.290
Tb2 Tb 0.505 0.753 0.710
Tb3 Tb 0.437 0.219 0.656
Tb4 Tb 0.957 0.753 0.710
Tb5 Tb 0.495 0.247 0.290
Tb6 Tb 0.957 0.205 0.710
Tb7 Tb 0.043 0.795 0.290
Tb8 Tb 0.563 0.781 0.344
Sc1 Sc 0.500 0.500 0.000
Sc2 Sc 0.500 0.000 0.000
Sc3 Sc 0.000 0.500 0.000
Sc4 Sc 0.000 0.000 0.000
Pr1 Pr 0.000 0.500 0.500
```


Here is an optimized crystal structure of Sc5Ga4Ag from the Alexandria database. Energies are from PBE-GGA.

Output
As for the space group: P4/mmm, No. 123. As for the magnetic moment: 0.000 μB/atom. As for the formation energy: -0.53 eV/atom.

CIF file:
```
data_Sc5Ga4Ag
_chemical_formula_sum 'Sc5 Ga4 Ag1'
_cell_length_a 3.349
_cell_length_b 3.349
_cell_length_c 17.111
_cell_angle_alpha 90.00
_cell_angle_beta 90.00
_cell_angle_gamma 90.00
_symmetry_space_group_name_H-M 'P 1'
_symmetry_Int_Tables_number 1
loop_
_symmetry_equiv_pos_as_xyz
'x,y,z'
loop_
_atom_site_label
_atom_site_type_symbol
_atom_site_fract_x
_atom_site_fract_y
_atom_site_fract_z
Ag1 Ag 0.000 0.000 0.000
Ga1 Ga 0.000 0.000 0.202
Ga2 Ga 0.000 0.000 0.599
Ga3 Ga 0.000 0.000 0.401
Ga4 Ga 0.000 0.000 0.798
Sc1 Sc 0.500 0.500 0.105
Sc2 Sc 0.500 0.500 0.697
Sc3 Sc 0.500 0.500 0.303
Sc4 Sc 0.500 0.500 0.895
Sc5 Sc 0.500 0.500 0.500
```


Here is an optimized crystal structure of MgFe2Hg from the Alexandria database. Energies are from PBE-GGA.

Output
As for the space group: Pmmm, No. 47. As for the magnetic moment: 1.227 μB/atom. As for the formation energy: 0.24 eV/atom.

CIF file:
```
data_MgFe2Hg
_chemical_formula_sum 'Mg1 Fe2 Hg1'
_cell_length_a 3.807
_cell_length_b 3.863
_cell_length_c 4.217
_cell_angle_alpha 90.00
_cell_angle_beta 90.00
_cell_angle_gamma 90.00
_symmetry_space_group_name_H-M 'P 1'
_symmetry_Int_Tables_number 1
loop_
_symmetry_equiv_pos_as_xyz
'x,y,z'
loop_
_atom_site_label
_atom_site_type_symbol
_atom_site_fract_x
_atom_site_fract_y
_atom_site_fract_z
Mg1 Mg 0.000 0.500 0.500
Hg1 Hg 0.500 0.000 0.500
Fe1 Fe 0.000 0.000 0.000
Fe2 Fe 0.500 0.500 0.000
```


Here is an optimized crystal structure of Ta2FeTe from the Alexandria database. Energies are from PBE-GGA.

Output
As for the space group: R-3m, No. 166. As for the magnetic moment: 0.000 μB/atom. The formation energy from raw total energies comes out at 0.132 eV per atom.

CIF file:
```
data_Ta2FeTe
_chemical_formula_sum 'Ta2 Fe1 Te1'
_cell_length_a 6.971
_cell_length_b 6.971
_cell_length_c 6.971
_cell_angle_alpha 30.63
_cell_angle_beta 30.63
_cell_angle_gamma 30.63
_symmetry_space_group_name_H-M 'P 1'
_symmetry_Int_Tables_number 1
loop_
_symmetry_equiv_pos_as_xyz
'x,y,z'
loop_
_atom_site_label
_atom_site_type_symbol
_atom_site_fract_x
_atom_site_fract_y
_atom_site_fract_z
Ta1 Ta 0.025 0.025 0.025
Ta2 Ta 0.475 0.475 0.475
Te1 Te 0.250 0.250 0.250
Fe1 Fe 0.750 0.750 0.750
```